No. 1
Compound: SbPd3Pb5
Source: the Alexandria database
Functional: PBE
Structure: optimized geometry

```
data_SbPd3Pb5
_chemical_formula_sum 'Sb4 Pd12 Pb20'
_space_group_name_H-M_alt 'C 1 2/m 1'
_space_group_IT_number 12
_cell_length_a 11.911
_cell_length_b 9.591
_cell_length_c 10.234
_cell_angle_alpha 90.00
_cell_angle_beta 119.65
_cell_angle_gamma 90.00
loop_
_space_group_symop_operation_xyz
'x,y,z'
'-x,-y,-z'
'-x,y,-z'
'x,-y,z'
'x+1/2,y+1/2,z'
'-x+1/2,-y+1/2,-z'
'-x+1/2,y+1/2,-z'
'x+1/2,-y+1/2,z'
loop_
_atom_site_label
_atom_site_type_symbol
_atom_site_fract_x
_atom_site_fract_y
_atom_site_fract_z
Sb1 Sb 0.080 0.000 0.297
Pd1 Pd 0.000 0.000 0.000
Pd2 Pd 0.000 0.000 0.500
Pd3 Pd 0.171 0.500 0.177
Pd4 Pd 0.186 0.500 0.667
Pb1 Pb 0.000 0.289 0.000
Pb2 Pb 0.067 0.500 0.360
Pb3 Pb 0.151 0.217 0.691
Pb4 Pb 0.244 0.000 0.027
```

Calculated values
The value obtained for the spin magnetization is 0.0 μB/cell. The value obtained for the energy is -0.160 Ha/atom. The formation energy without anion corrections is -98 meV/atom.

No. 2
Compound: Ac8Pr3Sm
Source: the Alexandria database
Functional: PBE
Structure: optimized geometry

```
data_Ac8Pr3Sm
_chemical_formula_sum 'Ac16 Pr6 Sm2'
_space_group_name_H-M_alt 'C 1 2/m 1'
_space_group_IT_number 12
_cell_length_a 14.455
_cell_length_b 11.944
_cell_length_c 7.290
_cell_angle_alpha 90.00
_cell_angle_beta 120.18
_cell_angle_gamma 90.00
loop_
_space_group_symop_operation_xyz
'x,y,z'
'-x,-y,-z'
'-x,y,-z'
'x,-y,z'
'x+1/2,y+1/2,z'
'-x+1/2,-y+1/2,-z'
'-x+1/2,y+1/2,-z'
'x+1/2,-y+1/2,z'
loop_
_atom_site_label
_atom_site_type_symbol
_atom_site_fract_x
_atom_site_fract_y
_atom_site_fract_z
Ac1 Ac 0.028 0.249 0.277
Ac2 Ac 0.249 0.155 0.800
Pr1 Pr 0.000 0.500 0.000
Pr2 Pr 0.247 0.000 0.291
Sm1 Sm 0.000 0.000 0.500
```

Calculated values
The value obtained for the spin magnetization is 0.0 μB/cell. The value obtained for the energy is -0.147 Ha/atom. The calculation puts the calculated formation energy at 0.32 eV per atom.

No. 3
Compound: NpUNi4
Source: the Alexandria database
Functional: PBE
Structure: optimized geometry

```
data_NpUNi4
_chemical_formula_sum 'Np4 U4 Ni16'
_space_group_name_H-M_alt 'F -4 3 m'
_space_group_IT_number 216
_space_group_name_Hall 'F -4 2 3'
_cell_length_a 7.053
_cell_length_b 7.053
_cell_length_c 7.053
_cell_angle_alpha 90.00
_cell_angle_beta 90.00
_cell_angle_gamma 90.00
loop_
_atom_site_label
_atom_site_type_symbol
_atom_site_fract_x
_atom_site_fract_y
_atom_site_fract_z
Np1 Np 0.000 0.000 0.000
U1 U 0.250 0.250 0.250
Ni1 Ni 0.125 0.125 0.625
```

Calculated values
The value obtained for the spin magnetization is 24.7 μB/cell. The value obtained for the energy is -0.297 Ha/atom. The calculation puts the calculated formation energy at -0.19 eV per atom.

No. 4
Compound: Ba3LaTb2Te6
Source: the Alexandria database
Functional: PBE
Structure: optimized geometry

```
data_Ba3LaTb2Te6
_chemical_formula_sum 'Ba6 La2 Tb4 Te12'
_space_group_name_H-M_alt 'C 1 2/m 1'
_space_group_IT_number 12
_cell_length_a 8.038
_cell_length_b 13.906
_cell_length_c 8.305
_cell_angle_alpha 90.00
_cell_angle_beta 108.83
_cell_angle_gamma 90.00
loop_
_space_group_symop_operation_xyz
'x,y,z'
'-x,-y,-z'
'-x,y,-z'
'x,-y,z'
'x+1/2,y+1/2,z'
'-x+1/2,-y+1/2,-z'
'-x+1/2,y+1/2,-z'
'x+1/2,-y+1/2,z'
loop_
_atom_site_label
_atom_site_type_symbol
_atom_site_fract_x
_atom_site_fract_y
_atom_site_fract_z
Ba1 Ba 0.000 0.000 0.000
Ba2 Ba 0.000 0.337 0.000
La1 La 0.000 0.500 0.500
Tb1 Tb 0.000 0.168 0.500
Te1 Te 0.230 0.000 0.717
Te2 Te 0.245 0.329 0.721
```

Calculated values
The value obtained for the spin magnetization is 0.0 μB/cell. The value obtained for the energy is -0.177 Ha/atom. The formation energy without anion corrections is -1570 meV/atom.

Number 2 is which compound? Ac8Pr3Sm

Which value of spin magnetization does entry 1 give? 0.0 μB/cell